(1)
DFT (PBE-GGA) results for a relaxed structure of In2Re.

Final energy = -67.2 eV per cell

a b c (Å): 10.0300 3.1080 9.0426
angles (deg): 90.00 107.47 90.00
Space group Cm (No. 8)
Symmetry-distinct sites (fractional):
In  0.0000  0.0000  0.0000 [2 per cell]
In  0.0600  0.5000  0.3659 [2 per cell]
In  0.1904  0.0000  0.7770 [2 per cell]
In  0.3861  0.5000  0.5928 [2 per cell]
Re  0.2549  0.5000  0.0814 [2 per cell]
Re  0.2737  0.0000  0.2929 [2 per cell]

***

(2)
DFT (PBE-GGA) results for a relaxed structure of TlSb2Pb.

ΔE_f (raw) = 0.06 eV/atom

a b c (Å): 3.3623 5.3111 6.9328
angles (deg): 90.00 90.74 90.00
Space group P2/m (No. 10)
Symmetry-distinct sites (fractional):
Tl  0.0000  0.0000  0.0000 [1 per cell]
Sb  0.4979  0.5000  0.2836 [2 per cell]
Pb  0.0000  0.0000  0.5000 [1 per cell]

***

(3)
DFT (PBE-GGA) results for a relaxed structure of TiV2BH.

Final energy = -33.3 eV per cell

a b c (Å): 4.2337 4.2337 3.1605
angles (deg): 90.00 90.00 90.00
Space group P4/mmm (No. 123)
Symmetry-distinct sites (fractional):
Ti  0.0000  0.0000  0.0000 [1 per cell]
V  0.0000  0.5000  0.5000 [2 per cell]
B  0.5000  0.5000  0.5000 [1 per cell]
H  0.5000  0.5000  0.0000 [1 per cell]

***

(4)
DFT (PBE-GGA) results for a relaxed structure of YReAu.

Final energy = -75.3 eV per cell

a b c (Å): 6.6583 6.6583 6.6583
angles (deg): 90.00 90.00 90.00
Space group F-43m (No. 216)
Symmetry-distinct sites (fractional):
Y  0.0000  0.0000  0.0000 [4 per cell]
Re  0.2500  0.2500  0.7500 [4 per cell]
Au  0.2500  0.2500  0.2500 [4 per cell]

***

Total moment, record by record: 0.00 0.00 0.00 9.86 μB/cell
Density, record by record: 10.27 8.79 4.74 10.62 Mg/m³